Entry 1:
CeHfTiAl | PBE | optimized geometry

Calculated values
formation energy from the elements	-2.7	kJ per mole of atoms
space group	F-43m, No. 216
density of states at the Fermi level	6.0	states/eV/cell

Cell lengths 4.9297, 4.9297, 4.9297 Å; angles 60.00, 60.00, 60.00 degrees
With the nearest neighbours (Å) after each atom.
Element x y z (fractional)
Ti 0.2500 0.2500 0.2500  4 Ce 3.02, 4 Hf 3.02
Al 0.7500 0.7500 0.7500  4 Hf 3.02, 4 Ce 3.02
Ce 0.0000 0.0000 0.0000  4 Al 3.02, 4 Ti 3.02
Hf 0.5000 0.5000 0.5000  4 Ti 3.02, 4 Al 3.02


Entry 2:
Cs4KTl3Br8 | PBE | optimized geometry

Calculated values
space group	R-3m, No. 166
E_form (uncorrected)	-1.428	eV/atom
density of states at the Fermi level	0.0	states/eV/cell

Cell lengths 9.9712, 9.9619, 9.9734 Å; angles 120.03, 119.99, 90.00 degrees
With the nearest neighbours (Å) after each atom.
Element x y z (fractional)
Cs 0.0000 0.0000 0.0000  6 Br 3.63
Br 0.2573 0.2718 0.5145  3 Tl 3.42-3.43, 3 Cs 3.63
Br 0.2413 0.7266 0.9854  1 K 3.40, 2 Tl 3.42-3.43, 3 Cs 3.63-3.65
Tl 0.5000 0.5000 0.5000  6 Br 3.42-3.43
Br 0.2416 0.7269 0.4831  1 K 3.41, 2 Tl 3.42, 3 Cs 3.63-3.65
Br 0.7587 0.2734 0.0146  1 K 3.40, 2 Tl 3.42-3.43, 3 Cs 3.63-3.65
Br 0.7441 0.7266 0.9854  1 K 3.40, 2 Tl 3.42-3.43, 3 Cs 3.63-3.65
Tl 0.0000 0.5000 0.5000  6 Br 3.42-3.43
Br 0.7584 0.2731 0.5169  1 K 3.41, 2 Tl 3.42, 3 Cs 3.63-3.65
Br 0.7427 0.7282 0.4855  3 Tl 3.42-3.43, 3 Cs 3.63
Tl 0.5000 0.5000 0.0000  6 Br 3.42-3.43
K 0.0000 0.5000 0.0000  6 Br 3.40-3.41
Br 0.2559 0.2734 0.0146  1 K 3.40, 2 Tl 3.42-3.43, 3 Cs 3.63-3.65
Cs 0.0000 0.0000 0.5000  6 Br 3.63
Cs 0.5000 0.0000 0.5000  6 Br 3.63
Cs 0.5000 0.0000 0.0000  6 Br 3.65


Entry 3:
La2PmY12 | PBE | optimized geometry

Calculated values
formation energy from the elements	15.7	kJ per mole of atoms
space group	Cmme, No. 67
density of states at the Fermi level	55.8	states/eV/cell

Cell lengths 6.7579, 6.7579, 25.0594 Å; angles 90.00, 90.00, 116.34 degrees
With the nearest neighbours (Å) after each atom.
Element x y z (fractional)
La 0.5000 0.0000 0.7312  2 La 3.56, 8 Y 3.69-3.81
Y 0.2506 0.7506 0.4159  8 Y 3.42-3.62
Y 0.2493 0.2507 0.4384  7 Y 3.09-3.43
Y 0.2500 0.2500 0.9225  2 Pm 3.47, 8 Y 3.52-3.59
Y 0.7500 0.7500 0.9225  2 Pm 3.47, 8 Y 3.52-3.59
Y 0.5000 0.5000 0.1984  7 Y 3.25-3.56
Y 0.0000 0.0000 0.6720  7 Y 3.25-3.62
Y 0.0000 0.0000 0.1984  7 Y 3.25-3.56
Y 0.7493 0.7507 0.5616  7 Y 3.09-3.43
Y 0.5000 0.5000 0.3280  7 Y 3.25-3.62
Y 0.7500 0.2500 0.8738  8 Y 3.39-3.59, 2 Pm 3.63
La 0.0000 0.5000 0.2688  2 La 3.56, 8 Y 3.69-3.81
Y 0.7506 0.2506 0.5841  8 Y 3.42-3.62
Y 0.7494 0.2494 0.4159  8 Y 3.42-3.62
Y 0.2494 0.7494 0.5841  8 Y 3.42-3.62
La 0.0000 0.5000 0.7314  2 La 3.56, 10 Y 3.69-3.99
Y 0.0000 0.0000 0.3280  7 Y 3.25-3.62
Y 0.7500 0.2500 0.1262  8 Y 3.39-3.59, 2 Pm 3.63
La 0.5000 0.0000 0.2686  2 La 3.56, 10 Y 3.69-3.99
Y 0.7500 0.7500 0.0775  2 Pm 3.47, 8 Y 3.52-3.59
Y 0.2500 0.7500 0.8738  8 Y 3.39-3.59, 2 Pm 3.63
Y 0.5000 0.5000 0.6720  7 Y 3.25-3.62
Y 0.0000 0.0000 0.8016  7 Y 3.25-3.56
Pm 0.0000 0.5000 0.0000  8 Y 3.47-3.63, 2 Pm 3.56
Y 0.7507 0.7493 0.4384  7 Y 3.09-3.43
Pm 0.5000 0.0000 0.0000  8 Y 3.47-3.63, 2 Pm 3.56
Y 0.2507 0.2493 0.5616  7 Y 3.09-3.43
Y 0.2500 0.7500 0.1262  8 Y 3.39-3.59, 2 Pm 3.63
Y 0.5000 0.5000 0.8016  7 Y 3.25-3.56
Y 0.2500 0.2500 0.0775  2 Pm 3.47, 8 Y 3.52-3.59


Entry 4:
NaHoAuS2 | PBE | optimized geometry

Calculated values
space group	P2/c, No. 13
E_form (uncorrected)	-1.075	eV/atom
density of states at the Fermi level	4.7	states/eV/cell

Cell lengths 5.0511, 6.4511, 7.4417 Å; angles 92.63, 90.00, 90.00 degrees
With the nearest neighbours (Å) after each atom.
Element x y z (fractional)
Ho 0.4971 0.0000 0.2500  4 S 2.70
S 0.6689 0.7267 0.9906  1 Au 2.43, 2 Ho 2.70
Na 0.0325 0.5000 0.7500  4 S 2.90-2.91
S 0.3311 0.2733 0.0094  1 Au 2.43, 2 Ho 2.70
Ho 0.5029 0.0000 0.7500  4 S 2.70
S 0.6689 0.2733 0.5094  1 Au 2.43, 2 Ho 2.70
Na 0.9675 0.5000 0.2500  4 S 2.90-2.91
Au 0.0000 0.0000 0.0000  2 S 2.43
S 0.3311 0.7267 0.4906  1 Au 2.43, 2 Ho 2.70
Au 0.0000 0.0000 0.5000  2 S 2.43


Entry 5:
Ga2FeNi6 | PBE | optimized geometry

Calculated values
formation energy from the elements	-17.1	kJ per mole of atoms
space group	C2/m, No. 12
density of states at the Fermi level	7.1	states/eV/cell

Cell lengths 4.1146, 4.6092, 7.4290 Å; angles 119.88, 90.00, 116.51 degrees
With the nearest neighbours (Å) after each atom.
Element x y z (fractional)
Ni 0.3314 0.6628 0.4992  2 Ga 2.42, 4 Ni 2.46-2.50, 2 Fe 2.48
Ga 0.3393 0.6786 0.1778  8 Ni 2.42-2.50
Ni 0.3299 0.6598 0.8352  3 Ga 2.46-2.50, 1 Fe 2.46, 5 Ni 2.49-2.68
Ni 0.0059 0.0119 0.8361  3 Ga 2.45-2.50, 1 Fe 2.47, 5 Ni 2.49-2.68
Ga 0.6607 0.3214 0.8222  8 Ni 2.42-2.50
Ni 0.6701 0.3402 0.1648  3 Ga 2.46-2.50, 1 Fe 2.46, 5 Ni 2.49-2.68
Fe 0.0000 0.0000 0.5000  10 Ni 2.46-2.74
Ni 0.9941 0.9881 0.1639  3 Ga 2.45-2.50, 1 Fe 2.47, 5 Ni 2.49-2.68
Ni 0.6686 0.3372 0.5008  2 Ga 2.42, 4 Ni 2.46-2.50, 2 Fe 2.48


Entry 6:
YReTeN2 | PBE | optimized geometry

Calculated values
space group	P4/mmm, No. 123
E_form (uncorrected)	0.138	eV/atom
density of states at the Fermi level	2.3	states/eV/cell
E above lowest polymorph	67	meV per atom

Cell lengths 3.9700, 6.4599, 3.9700 Å; angles 90.00, 90.00, 90.00 degrees
With the nearest neighbours (Å) after each atom.
Element x y z (fractional)
Y 0.0000 0.5000 0.0000  4 Te 2.81
Re 0.0000 0.0000 0.0000  4 N 1.99
N 0.5000 0.0000 0.0000  2 Re 1.99
Te 0.5000 0.5000 0.5000  4 Y 2.81
N 0.0000 0.0000 0.5000  2 Re 1.99


Entry 7:
KInIr2 | PBE | optimized geometry

Calculated values
formation energy from the elements	80.2	kJ per mole of atoms
space group	F-43m, No. 216
density of states at the Fermi level	4.7	states/eV/cell

Cell lengths 4.7696, 4.7696, 4.7696 Å; angles 119.98, 119.98, 90.04 degrees
With the nearest neighbours (Å) after each atom.
Element x y z (fractional)
Ir 0.2500 0.7500 0.5000  4 K 2.92, 4 Ir 2.92
K 0.5000 0.5000 0.0000  4 In 2.92, 4 Ir 2.92
Ir 0.0000 0.0000 0.0000  4 Ir 2.92, 4 In 2.92
In 0.7500 0.2500 0.5000  4 Ir 2.92, 4 K 2.92


Entry 8:
AgBiPtRh | PBE | optimized geometry

Calculated values
formation energy from the elements	4.8	kJ per mole of atoms
space group	F-43m, No. 216
density of states at the Fermi level	3.7	states/eV/cell

Cell lengths 4.6934, 4.6934, 4.6934 Å; angles 60.00, 60.00, 60.00 degrees
With the nearest neighbours (Å) after each atom.
Element x y z (fractional)
Bi 0.7500 0.7500 0.7500  4 Pt 2.87, 4 Rh 2.87
Ag 0.2500 0.2500 0.2500  4 Rh 2.87, 4 Pt 2.87
Pt 0.5000 0.5000 0.5000  4 Ag 2.87, 4 Bi 2.87
Rh 0.0000 0.0000 0.0000  4 Bi 2.87, 4 Ag 2.87


Entry 9:
Ho2Cu3NiGe4 | PBE | optimized geometry

Calculated values
formation energy from the elements	-48.1	kJ per mole of atoms
space group	P-4m2, No. 115
density of states at the Fermi level	4.5	states/eV/cell

Cell lengths 4.0760, 4.0760, 10.1230 Å; angles 90.00, 90.00, 90.00 degrees
With the nearest neighbours (Å) after each atom.
Element x y z (fractional)
Cu 0.0000 0.0000 0.5000  4 Ge 2.42
Ho 0.5000 0.0000 0.2596  8 Ge 3.10-3.33, 6 Cu 3.13-3.17, 2 Ni 3.17
Ge 0.0000 0.0000 0.0000  4 Cu 2.47
Ni 0.5000 0.5000 0.5000  4 Ge 2.42
Cu 0.5000 0.0000 0.8616  5 Ge 2.36-2.47
Ho 0.0000 0.5000 0.7404  8 Ge 3.10-3.33, 6 Cu 3.13-3.17, 2 Ni 3.17
Ge 0.0000 0.5000 0.3719  3 Cu 2.36-2.42, 2 Ni 2.42
Ge 0.5000 0.5000 0.0000  4 Cu 2.47
Ge 0.5000 0.0000 0.6281  3 Cu 2.36-2.42, 2 Ni 2.42
Cu 0.0000 0.5000 0.1384  5 Ge 2.36-2.47


Entry 10:
Cs2RbPtPb | PBE | optimized geometry

Calculated values
formation energy from the elements	-3.0	kJ per mole of atoms
space group	P4/mmm, No. 123
density of states at the Fermi level	4.1	states/eV/cell

Cell lengths 6.9392, 6.9392, 5.3435 Å; angles 90.00, 90.00, 90.00 degrees
With the nearest neighbours (Å) after each atom.
Element x y z (fractional)
Cs 0.5000 0.0000 0.0000  2 Pt 3.47
Pt 0.0000 0.0000 0.0000  2 Pb 2.67
Cs 0.0000 0.5000 0.0000  2 Pt 3.47
Rb 0.5000 0.5000 0.5000  8 Cs 4.38
Pb 0.0000 0.0000 0.5000  2 Pt 2.67


Entry 11:
Co2Ag3Br8 | PBE | optimized geometry

Calculated values
space group	C2/m, No. 12
E_form (uncorrected)	-0.289	eV/atom
density of states at the Fermi level	7.5	states/eV/cell

Cell lengths 7.0105, 8.1139, 7.8479 Å; angles 121.13, 106.13, 90.00 degrees
With the nearest neighbours (Å) after each atom.
Element x y z (fractional)
Br 0.7633 0.8746 0.7492  1 Co 2.41
Br 0.2795 0.6432 0.2864  1 Co 2.36
Br 0.7205 0.3568 0.7136  1 Co 2.36
Br 0.7526 0.3842 0.2509  1 Co 2.37
Ag 0.0000 0.2834 0.0000  6 Br 2.79-3.01
Br 0.2367 0.1254 0.2508  1 Co 2.41
Br 0.7526 0.8667 0.2509  1 Co 2.37
Ag 0.5000 0.0000 0.0000  6 Br 2.87-2.91
Br 0.2474 0.1333 0.7491  1 Co 2.37
Br 0.2474 0.6158 0.7491  1 Co 2.37
Ag 0.0000 0.7166 0.0000  6 Br 2.79-3.01
Co 0.6332 0.6854 0.3708  4 Br 2.36-2.41
Co 0.3668 0.3146 0.6292  4 Br 2.36-2.41


Entry 12:
TbGdSiAg | PBE | optimized geometry

Calculated values
space group	F-43m, No. 216
E_form (uncorrected)	-0.456	eV/atom
density of states at the Fermi level	3.2	states/eV/cell

Cell lengths 5.0767, 5.0767, 5.0767 Å; angles 60.00, 60.00, 60.00 degrees
With the nearest neighbours (Å) after each atom.
Element x y z (fractional)
Ag 0.2500 0.2500 0.2500  4 Gd 3.11, 4 Tb 3.11
Tb 0.0000 0.0000 0.0000  4 Si 3.11, 4 Ag 3.11
Gd 0.5000 0.5000 0.5000  4 Ag 3.11, 4 Si 3.11
Si 0.7500 0.7500 0.7500  4 Tb 3.11, 4 Gd 3.11


Among the records above, which one has the highest density of states at the Fermi level?
La2PmY12


Please write out number 12 again, unchanged.
TbGdSiAg | PBE | optimized geometry

Calculated values
space group	F-43m, No. 216
E_form (uncorrected)	-0.456	eV/atom
density of states at the Fermi level	3.2	states/eV/cell

Cell lengths 5.0767, 5.0767, 5.0767 Å; angles 60.00, 60.00, 60.00 degrees
With the nearest neighbours (Å) after each atom.
Element x y z (fractional)
Ag 0.2500 0.2500 0.2500  4 Gd 3.11, 4 Tb 3.11
Tb 0.0000 0.0000 0.0000  4 Si 3.11, 4 Ag 3.11
Gd 0.5000 0.5000 0.5000  4 Ag 3.11, 4 Si 3.11
Si 0.7500 0.7500 0.7500  4 Tb 3.11, 4 Gd 3.11